VASP calculation (GGA-PBE) on an optimized crystal structure of La6Ge2IrI3.

Calculated values
- final energy (eV per atom) = -5.4171
- volume (Å³/atom) = 33.4
- space group = C2/m, No. 12
- total moment (μB/atom) = 0.000
- density of states at the Fermi level (states/eV/cell) = 10.95
- uncorrected formation energy (kJ/mol of atoms) = -102.1

Cell and atoms, written as POSCAR:
```
La6Ge2IrI3
1.0
3.898 -6.606 0.000
3.898 6.606 0.000
-2.599 0.000 7.777
La Ge Ir I
6 2 1 3
Cartesian
1.213 2.067 1.499
-0.035 0.000 6.161
1.213 -2.067 1.499
3.983 2.067 6.278
5.232 0.000 1.616
3.983 -2.067 6.278
3.898 2.185 0.000
3.898 -2.185 0.000
0.000 0.000 0.000
2.598 4.283 3.888
2.598 0.000 3.888
2.598 -4.283 3.888
```